# 1
HfTlOs2: relaxed, PBE-GGA.

Cell and atoms, written as extended XYZ:
```
4
Lattice="0.000 3.281 3.281 3.281 0.000 3.281 3.281 3.281 0.000" Properties=species:S:1:pos:R:3 pbc="T T T"
Hf 0.000 0.000 0.000
Tl 4.922 4.922 4.922
Os 1.641 1.641 1.641
Os 3.281 3.281 3.281
```

total moment = 0.049 Bohr magnetons per cell
raw total energy = -0.593 Ry/atom



# 2
Hf2Os: relaxed, PBE-GGA.

Cell and atoms, written as extended XYZ:
```
24
Lattice="0.000 6.157 6.157 6.157 0.000 6.157 6.157 6.157 0.000" Properties=species:S:1:pos:R:3 pbc="T T T"
Hf 0.000 0.000 0.000
Hf 3.078 3.078 0.000
Hf 3.078 0.000 3.078
Hf 4.618 4.618 2.289
Hf 4.618 2.289 4.618
Hf 6.946 4.618 4.618
Hf 7.696 7.696 5.368
Hf 7.696 5.368 7.696
Hf 10.025 7.696 7.696
Hf 0.000 3.078 3.078
Hf 2.289 4.618 4.618
Hf 4.618 6.946 4.618
Hf 4.618 4.618 6.946
Hf 5.368 7.696 7.696
Hf 7.696 10.025 7.696
Hf 7.696 7.696 10.025
Os 9.669 5.723 5.723
Os 2.645 2.645 2.645
Os 6.591 6.591 2.645
Os 6.591 2.645 6.591
Os 5.723 9.669 5.723
Os 5.723 5.723 9.669
Os 9.669 9.669 9.669
Os 2.645 6.591 6.591
```

total moment = 0.006 Bohr magnetons per cell
formation energy from the elements = -429 meV per atom



# 3
Nd5H: relaxed, PBE-GGA.

Cell and atoms, written as extended XYZ:
```
6
Lattice="6.531 0.000 0.000 -3.265 5.656 0.000 0.000 0.000 6.110" Properties=species:S:1:pos:R:3 pbc="T T T"
Nd -1.633 2.828 0.000
Nd 0.000 3.771 3.055
Nd 3.265 0.000 0.000
Nd 1.633 2.828 0.000
Nd 3.265 1.885 3.055
H 0.000 0.000 3.055
```

total moment = 1.241 Bohr magnetons per cell
raw total energy = -0.263 Ry/atom



# 4
BeCoSnIr: relaxed, PBE-GGA.

Cell and atoms, written as extended XYZ:
```
4
Lattice="0.000 3.008 3.008 3.008 0.000 3.008 3.008 3.008 0.000" Properties=species:S:1:pos:R:3 pbc="T T T"
Be 0.000 0.000 0.000
Co 4.512 4.512 4.512
Sn 3.008 3.008 3.008
Ir 1.504 1.504 1.504
```

total moment = 0.294 Bohr magnetons per cell
excess energy over the best structure of this formula in the dataset = 0.0 meV/atom



# 5
BeZnFeRe: relaxed, PBE-GGA.

Cell and atoms, written as extended XYZ:
```
4
Lattice="0.000 2.897 2.897 2.897 0.000 2.897 2.897 2.897 0.000" Properties=species:S:1:pos:R:3 pbc="T T T"
Be 0.000 0.000 0.000
Zn 2.897 2.897 2.897
Fe 4.345 4.345 4.345
Re 1.448 1.448 1.448
```

total moment = 3.157 Bohr magnetons per cell
excess energy over the best structure of this formula in the dataset = 214.6 meV/atom



# 6
ZrW: relaxed, PBE-GGA.

Cell and atoms, written as extended XYZ:
```
24
Lattice="6.764 0.000 0.000 0.000 14.194 0.000 0.000 0.000 4.791" Properties=species:S:1:pos:R:3 pbc="T T T"
Zr 0.737 2.344 1.198
Zr 0.737 4.753 3.593
Zr 2.451 9.403 1.198
Zr 2.451 11.888 3.593
Zr 2.538 2.119 3.593
Zr 2.538 4.978 1.198
Zr 4.226 9.216 3.593
Zr 4.226 12.075 1.198
Zr 4.314 2.306 1.198
Zr 4.314 4.791 3.593
Zr 6.027 9.441 1.198
Zr 6.027 11.850 3.593
W 0.781 0.036 3.593
W 0.781 7.061 1.198
W 0.865 9.234 3.593
W 0.865 12.057 1.198
W 2.466 7.105 3.593
W 2.466 14.186 1.198
W 4.298 0.008 3.593
W 4.298 7.089 1.198
W 5.900 2.137 3.593
W 5.900 4.960 1.198
W 5.984 7.133 3.593
W 5.984 14.159 1.198
```

total moment = 0.003 Bohr magnetons per cell
formation energy from the elements = 152 meV per atom



# 7
NdTePO6: relaxed, PBE-GGA.

Cell and atoms, written as extended XYZ:
```
18
Lattice="5.253 0.000 0.000 -2.627 4.550 0.000 0.000 0.000 10.007" Properties=species:S:1:pos:R:3 pbc="T T T"
Nd 0.000 0.000 0.000
Nd 0.000 0.000 5.004
Te 0.000 3.033 2.502
Te 2.627 1.517 7.505
P 0.000 3.033 7.505
P 2.627 1.517 2.502
O -0.905 1.700 1.409
O -1.607 2.916 3.595
O 0.905 1.700 3.595
O -0.702 4.484 1.409
O 1.925 0.066 6.413
O 1.019 1.634 8.598
O 1.607 2.916 1.409
O 0.702 4.484 3.595
O 3.329 0.066 8.598
O 1.721 2.850 6.413
O 4.234 1.634 6.413
O 3.532 2.850 8.598
```

total moment = 0.003 Bohr magnetons per cell
raw total energy = -0.469 Ry/atom



# 8
CoP2: relaxed, PBE-GGA.

Cell and atoms, written as extended XYZ:
```
12
Lattice="6.761 0.000 0.000 0.000 3.065 0.000 0.000 0.000 7.175" Properties=species:S:1:pos:R:3 pbc="T T T"
Co 1.137 0.766 1.182
Co 2.243 2.299 4.769
Co 4.518 0.766 2.406
Co 5.624 2.299 5.994
P 0.496 0.766 6.158
P 0.843 0.766 3.455
P 2.537 2.299 7.043
P 2.884 2.299 2.571
P 3.877 0.766 4.605
P 4.224 0.766 0.132
P 5.918 2.299 3.720
P 6.265 2.299 1.017
```

total moment = 0.002 Bohr magnetons per cell
raw total energy = -0.444 Ry/atom